Here is a PBEsol-optimized structure of TaInOs2 from Alexandria. Energies are from SCAN.

Cell: 3.192 3.192 6.354 Å, 90.00 90.00 90.00°
Fractional positions:
Ta (0.000, 0.000, 0.000)
In (0.000, 0.000, 0.500)
Os (0.500, 0.500, 0.235)
Os (0.500, 0.500, 0.765)

Calculated values
The density is 17.35 g/cm³. For the total moment, the calculation gives 0.0 μB/f.u. The formation energy comes out at -0.174 eV per atom. The total energy is -61.106 eV per atom.